DFT (PBE-GGA) results for crystalline NbZnH at its relaxed geometry.

Cell: 2.777 2.777 5.374 Å, 104.97 104.97 90.00°
Fractional coordinates of all 3 atoms:
Nb1 0.718 0.718 0.436
Zn1 0.001 0.001 0.002
H1 0.281 0.281 0.562

- DOS at the Fermi energy (states/eV per cell) = 2.0
- final energy (eV/atom) = -4.80